Below is ScSiTeI2 after structural relaxation, with properties calculated at the PBE level.

It has space group P4/mmm (No. 123), with a = 5.6066 Å, b = 5.6066 Å, c = 5.7553 Å, α = 90.00°, β = 90.00° and γ = 90.00°. The distinct sites, in fractional coordinates, are Sc at (0.0000, 0.0000, 0.0000), Si at (0.5000, 0.5000, 0.5000), Te at (0.0000, 0.0000, 0.5000) and I at (0.0000, 0.5000, 0.0000).

For the uncorrected formation energy, the calculation gives 0.017 eV/atom. The value obtained for the energy relative to the lowest polymorph listed for this composition is 0 meV per atom. The calculation puts the theoretical density at 4.2 g/cm³. As for the crystal system: tetragonal. Its density of states at the Fermi level is 0.5125 states/eV/atom.